# PBE TbPr3Th2As6, relaxed
data_TbPr3Th2As6
_cell_length_a 18.5981
_cell_length_b 4.2666
_cell_length_c 8.5244
_cell_angle_alpha 90.00
_cell_angle_beta 103.46
_cell_angle_gamma 90.00
_space_group_name_H-M_alt 'C 1 2/m 1'
_space_group_IT_number 12
loop_
_space_group_symop_operation_xyz
'x,y,z'
'-x,-y,-z'
'-x,y,-z'
'x,-y,z'
'x+1/2,y+1/2,z'
'-x+1/2,-y+1/2,-z'
'-x+1/2,y+1/2,-z'
'x+1/2,-y+1/2,z'
loop_
_atom_site_label
_atom_site_type_symbol
_atom_site_fract_x
_atom_site_fract_y
_atom_site_fract_z
Tb1 Tb 0.0000 0.0000 0.0000
Pr1 Pr 0.0000 0.0000 0.5000
Pr2 Pr 0.1660 0.5000 0.8343
Th1 Th 0.1649 0.5000 0.3302
As1 As 0.0010 0.5000 0.2436
As2 As 0.1640 0.0000 0.0855
As3 As 0.1683 0.0000 0.5798
# Energy of formation: -17.911 eV/f.u.
# Crystal system: monoclinic
# Mass density: 7.5 g/cm³

# PBE Pm5PrPt2, relaxed
data_Pm5PrPt2
_cell_length_a 4.0628
_cell_length_b 7.5729
_cell_length_c 16.3324
_cell_angle_alpha 90.00
_cell_angle_beta 90.00
_cell_angle_gamma 90.00
_space_group_name_H-M_alt 'I m m m'
_space_group_IT_number 71
_space_group_name_Hall '-I 2 2'
loop_
_atom_site_label
_atom_site_type_symbol
_atom_site_fract_x
_atom_site_fract_y
_atom_site_fract_z
Pm1 Pm 0.0000 0.0000 0.0000
Pm2 Pm 0.0000 0.2444 0.3458
Pr1 Pr 0.0000 0.5000 0.0000
Pt1 Pt 0.0000 0.0000 0.1978
# Energy of formation: -4.297 eV/f.u.
# Crystal system: orthorhombic
# Mass density: 8.3 g/cm³

# PBE ZrTc, relaxed
data_ZrTc
_cell_length_a 3.9138
_cell_length_b 10.4838
_cell_length_c 3.8527
_cell_angle_alpha 90.00
_cell_angle_beta 90.00
_cell_angle_gamma 90.00
_space_group_name_H-M_alt 'C m c m'
_space_group_IT_number 63
_space_group_name_Hall '-C 2c 2'
loop_
_atom_site_label
_atom_site_type_symbol
_atom_site_fract_x
_atom_site_fract_y
_atom_site_fract_z
Zr1 Zr 0.0000 0.1540 0.2500
Tc1 Tc 0.0000 0.4302 0.2500
# Energy of formation: -0.016 eV/f.u.
# Crystal system: orthorhombic
# Mass density: 8.0 g/cm³

# PBE AlVGe3, relaxed
data_AlVGe3
_cell_length_a 4.7674
_cell_length_b 4.7674
_cell_length_c 4.7674
_cell_angle_alpha 90.00
_cell_angle_beta 90.00
_cell_angle_gamma 90.00
_space_group_name_H-M_alt 'P m -3 m'
_space_group_IT_number 221
_space_group_name_Hall '-P 4 2 3'
loop_
_atom_site_label
_atom_site_type_symbol
_atom_site_fract_x
_atom_site_fract_y
_atom_site_fract_z
Al1 Al 0.0000 0.0000 0.0000
V1 V 0.5000 0.5000 0.5000
Ge1 Ge 0.0000 0.5000 0.5000
# Energy of formation: 1.701 eV/f.u.
# Crystal system: cubic
# Mass density: 4.5 g/cm³
# E above lowest polymorph: 0.000 eV/atom

# PBE MgHg2Cl, relaxed
data_MgHg2Cl
_cell_length_a 4.6984
_cell_length_b 5.2734
_cell_length_c 7.6724
_cell_angle_alpha 90.00
_cell_angle_beta 90.00
_cell_angle_gamma 90.00
_space_group_name_H-M_alt 'C m m m'
_space_group_IT_number 65
_space_group_name_Hall '-C 2 2'
loop_
_atom_site_label
_atom_site_type_symbol
_atom_site_fract_x
_atom_site_fract_y
_atom_site_fract_z
Mg1 Mg 0.0000 0.0000 0.0000
Hg1 Hg 0.0000 0.5000 0.2339
Cl1 Cl 0.0000 0.0000 0.5000
# Formation energy from raw total energies: -313 meV per atom
# Crystal system: orthorhombic
# Mass density: 8.1 g/cm³
# E above lowest polymorph: 0.292 eV/atom

# PBE BaNa2BiBr, relaxed
data_BaNa2BiBr
_cell_length_a 5.8035
_cell_length_b 5.8035
_cell_length_c 6.9532
_cell_angle_alpha 90.00
_cell_angle_beta 90.00
_cell_angle_gamma 90.00
_space_group_name_H-M_alt 'P 4/m m m'
_space_group_IT_number 123
_space_group_name_Hall '-P 4 2'
loop_
_atom_site_label
_atom_site_type_symbol
_atom_site_fract_x
_atom_site_fract_y
_atom_site_fract_z
Ba1 Ba 0.0000 0.0000 0.0000
Na1 Na 0.0000 0.5000 0.5000
Bi1 Bi 0.0000 0.0000 0.5000
Br1 Br 0.5000 0.5000 0.0000
# Formation energy from raw total energies: -749 meV per atom
# Crystal system: tetragonal
# Mass density: 3.3 g/cm³

# PBE MgAu2Br, relaxed
data_MgAu2Br
_cell_length_a 3.2914
_cell_length_b 3.2914
_cell_length_c 26.7215
_cell_angle_alpha 90.00
_cell_angle_beta 90.00
_cell_angle_gamma 120.00
_space_group_name_H-M_alt 'R -3 m'
_space_group_IT_number 166
_space_group_name_Hall '-R 3 2"'
loop_
_atom_site_label
_atom_site_type_symbol
_atom_site_fract_x
_atom_site_fract_y
_atom_site_fract_z
Mg1 Mg 0.0000 0.0000 0.0000
Au1 Au 0.0000 0.0000 0.2590
Br1 Br 0.0000 0.0000 0.5000
# Formation energy from raw total energies: -96 meV per atom
# Crystal system: trigonal
# Mass density: 9.9 g/cm³
# E above lowest polymorph: 0.430 eV/atom

# PBE Ca2WSe, relaxed
data_Ca2WSe
_cell_length_a 3.3098
_cell_length_b 5.3003
_cell_length_c 10.8888
_cell_angle_alpha 90.00
_cell_angle_beta 90.00
_cell_angle_gamma 90.00
_space_group_name_H-M_alt 'I m m 2'
_space_group_IT_number 44
loop_
_space_group_symop_operation_xyz
'x,y,z'
'-x,-y,z'
'-x,y,z'
'x,-y,z'
'x+1/2,y+1/2,z+1/2'
'-x+1/2,-y+1/2,z+1/2'
'-x+1/2,y+1/2,z+1/2'
'x+1/2,-y+1/2,z+1/2'
loop_
_atom_site_label
_atom_site_type_symbol
_atom_site_fract_x
_atom_site_fract_y
_atom_site_fract_z
Ca1 Ca 0.0000 0.0000 0.0000
Ca2 Ca 0.0000 0.5000 0.1905
W1 W 0.0000 0.5000 0.7755
Se1 Se 0.0000 0.0000 0.4507
# Formation energy from raw total energies: 52 meV per atom
# Crystal system: orthorhombic
# Mass density: 6.0 g/cm³

# PBE Sc2CoCl, relaxed
data_Sc2CoCl
_cell_length_a 6.5823
_cell_length_b 6.5823
_cell_length_c 7.5202
_cell_angle_alpha 90.00
_cell_angle_beta 90.00
_cell_angle_gamma 90.00
_space_group_name_H-M_alt 'I -4 2 d'
_space_group_IT_number 122
_space_group_name_Hall 'I -4 2bw'
loop_
_atom_site_label
_atom_site_type_symbol
_atom_site_fract_x
_atom_site_fract_y
_atom_site_fract_z
Sc1 Sc 0.2257 0.7500 0.1250
Co1 Co 0.0000 0.0000 0.0000
Cl1 Cl 0.0000 0.0000 0.5000
# Formation energy from raw total energies: -360 meV per atom
# Crystal system: tetragonal
# Mass density: 3.8 g/cm³
# E above lowest polymorph: 0.427 eV/atom

# PBE SnSb2W2, relaxed
data_SnSb2W2
_cell_length_a 8.2766
_cell_length_b 8.2766
_cell_length_c 3.0654
_cell_angle_alpha 90.00
_cell_angle_beta 90.00
_cell_angle_gamma 90.00
_space_group_name_H-M_alt 'P 4/m b m'
_space_group_IT_number 127
_space_group_name_Hall '-P 4 2ab'
loop_
_atom_site_label
_atom_site_type_symbol
_atom_site_fract_x
_atom_site_fract_y
_atom_site_fract_z
Sn1 Sn 0.0000 0.0000 0.0000
Sb1 Sb 0.1457 0.3543 0.0000
W1 W 0.1449 0.6449 0.5000
# Formation energy from raw total energies: 823 meV per atom
# Crystal system: tetragonal
# Mass density: 11.5 g/cm³
# E above lowest polymorph: 0.332 eV/atom

# PBE MgCuCl, relaxed
data_MgCuCl
_cell_length_a 6.4079
_cell_length_b 6.4079
_cell_length_c 6.4079
_cell_angle_alpha 90.00
_cell_angle_beta 90.00
_cell_angle_gamma 90.00
_space_group_name_H-M_alt 'F -4 3 m'
_space_group_IT_number 216
_space_group_name_Hall 'F -4 2 3'
loop_
_atom_site_label
_atom_site_type_symbol
_atom_site_fract_x
_atom_site_fract_y
_atom_site_fract_z
Mg1 Mg 0.0000 0.0000 0.0000
Cu1 Cu 0.2500 0.2500 0.7500
Cl1 Cl 0.2500 0.2500 0.2500
# Formation energy from raw total energies: -67 meV per atom
# Crystal system: cubic
# Mass density: 3.1 g/cm³
# E above lowest polymorph: 0.406 eV/atom

# PBE Al2RhSe, relaxed
data_Al2RhSe
_cell_length_a 3.6170
_cell_length_b 4.4951
_cell_length_c 7.8001
_cell_angle_alpha 90.00
_cell_angle_beta 90.00
_cell_angle_gamma 90.00
_space_group_name_H-M_alt 'I m m m'
_space_group_IT_number 71
_space_group_name_Hall '-I 2 2'
loop_
_atom_site_label
_atom_site_type_symbol
_atom_site_fract_x
_atom_site_fract_y
_atom_site_fract_z
Al1 Al 0.0000 0.0000 0.2467
Rh1 Rh 0.0000 0.5000 0.5000
Se1 Se 0.0000 0.5000 0.0000
# Formation energy from raw total energies: -203 meV per atom
# Crystal system: orthorhombic
# Mass density: 6.2 g/cm³

# PBE LiCe6In5, relaxed
data_LiCe6In5
_cell_length_a 4.6123
_cell_length_b 13.8372
_cell_length_c 9.7900
_cell_angle_alpha 90.00
_cell_angle_beta 90.00
_cell_angle_gamma 90.00
_space_group_name_H-M_alt 'C m m m'
_space_group_IT_number 65
_space_group_name_Hall '-C 2 2'
loop_
_atom_site_label
_atom_site_type_symbol
_atom_site_fract_x
_atom_site_fract_y
_atom_site_fract_z
Li1 Li 0.0000 0.0000 0.0000
Ce1 Ce 0.0000 0.1646 0.2502
Ce2 Ce 0.0000 0.5000 0.2503
In1 In 0.0000 0.0000 0.5000
In2 In 0.0000 0.3321 0.5000
In3 In 0.0000 0.3356 0.0000
# Energy of formation: -3.403 eV/f.u.
# Crystal system: orthorhombic
# Mass density: 7.6 g/cm³

Number 1: magnetic moment 0.0000 μB/atom. Number 2: magnetic moment 0.0000 μB/atom. Number 3: magnetic moment 0.0000 μB/atom. Number 4: magnetic moment 0.0295 μB/atom. Number 5: magnetic moment 0.0000 μB/atom. Number 6: magnetic moment 0.0000 μB/atom. Number 7: magnetic moment 0.0001 μB/atom. Number 8: magnetic moment 0.0000 μB/atom. Number 9: magnetic moment 0.0000 μB/atom. Number 10: magnetic moment 0.0000 μB/atom. Number 11: magnetic moment 0.0000 μB/atom. Number 12: magnetic moment 0.0000 μB/atom. Number 13: magnetic moment 0.3978 μB/atom.